Entry 1:
{
  "formula": "Pr3Sm6In2",
  "functional": "GGA-PBE",
  "state": "relaxed",
  "cell": [[-4.074, -1.197, -1.906], [2.137, -3.295, -2.498], [-1.753, -9.542, 15.423]],
  "species": ["Pr", "Pr", "Pr", "Sm", "Sm", "Sm", "Sm", "Sm", "Sm", "In", "In"],
  "frac_coords": [[0.000, 0.000, 0.000], [0.832, 0.832, 0.664], [0.168, 0.168, 0.336], [0.081, 0.581, 0.162], [0.581, 0.081, 0.162], [0.919, 0.419, 0.838], [0.419, 0.919, 0.838], [0.728, 0.728, 0.456], [0.272, 0.272, 0.544], [0.358, 0.358, 0.716], [0.642, 0.642, 0.284]],
  "energy_ev_per_atom": -4.29,
  "sg": "I4/mmm (139)",
  "magmom_total_mub_per_fu": 0.10,
  "delta_e_f_ev_per_atom": 0.087
}

---

Entry 2:
{
  "formula": "ZnTe2As",
  "functional": "GGA-PBE",
  "state": "relaxed",
  "cell": [[6.550, -0.031, -0.012], [1.384, 6.402, -0.012], [1.411, 1.133, 2.493]],
  "species": ["As", "Te", "Te", "Zn"],
  "frac_coords": [[0.000, 0.500, 0.500], [0.000, 0.000, 0.000], [0.500, 0.500, 0.000], [0.500, 0.000, 0.500]],
  "energy_ev_per_atom": -2.96,
  "sg": "C2/m (12)",
  "magmom_total_mub_per_fu": 0.00
}

---

Entry 3:
{
  "formula": "BaGeSbTe2",
  "functional": "GGA-PBE",
  "state": "relaxed",
  "cell": [[5.650, 0.000, 0.000], [0.000, 5.650, 0.000], [0.000, 0.000, 5.394]],
  "species": ["Sb", "Ge", "Te", "Te", "Ba"],
  "frac_coords": [[0.000, 0.000, 0.500], [0.000, 0.000, 0.000], [0.000, 0.500, 0.000], [0.500, 0.000, 0.000], [0.500, 0.500, 0.500]],
  "energy_ev_per_atom": -3.75,
  "sg": "P4/mmm (123)",
  "magmom_total_mub_per_fu": 0.00
}